(1)
Below is a geometry-optimized GdPPbO structure, with properties calculated at the PBE-GGA level.

CIF file:
```
data_GdPPbO
_chemical_formula_sum 'Gd2 P2 Pb2 O2'
_cell_length_a 4.770
_cell_length_b 6.853
_cell_length_c 6.364
_cell_angle_alpha 90.00
_cell_angle_beta 90.00
_cell_angle_gamma 90.00
_symmetry_space_group_name_H-M 'P m c 21'
_symmetry_Int_Tables_number 26
loop_
_symmetry_equiv_pos_as_xyz
'x,y,z'
'-x,-y,z+1/2'
'-x,y,z'
'x,-y,z+1/2'
loop_
_atom_site_label
_atom_site_type_symbol
_atom_site_fract_x
_atom_site_fract_y
_atom_site_fract_z
Gd1 Gd 0.000 0.146 0.000
P1 P 0.500 0.301 0.862
Pb1 Pb 0.500 0.294 0.419
O1 O 0.000 0.131 0.342
```

Volume (Å³ per atom): 26.003

(2)
Below is a geometry-optimized GdPPbO structure, with properties calculated at the PBE-GGA level.

CIF file:
```
data_GdPPbO
_chemical_formula_sum 'Gd2 P2 Pb2 O2'
_cell_length_a 5.561
_cell_length_b 5.561
_cell_length_c 5.398
_cell_angle_alpha 90.00
_cell_angle_beta 90.00
_cell_angle_gamma 90.00
_symmetry_space_group_name_H-M 'P 4/n m m'
_symmetry_Int_Tables_number 129
loop_
_symmetry_equiv_pos_as_xyz
'x,y,z'
'-x,-y,-z'
'-y+1/2,x,z'
'y+1/2,-x,-z'
'-x+1/2,-y+1/2,z'
'x+1/2,y+1/2,-z'
'y,-x+1/2,z'
'-y,x+1/2,-z'
'x+1/2,-y,-z'
'-x+1/2,y,z'
'-y,-x,-z'
'y,x,z'
'-x,y+1/2,-z'
'x,-y+1/2,z'
'y+1/2,x+1/2,-z'
'-y+1/2,-x+1/2,z'
loop_
_atom_site_label
_atom_site_type_symbol
_atom_site_fract_x
_atom_site_fract_y
_atom_site_fract_z
Gd1 Gd 0.250 0.750 0.000
P1 P 0.250 0.250 0.006
Pb1 Pb 0.250 0.250 0.504
O1 O 0.250 0.750 0.500
```

Volume (Å³ per atom): 20.866

Each structure's energy above the most stable one, in eV/atom: (1) 0.000; (2) 0.179.

(1)
Below is a geometry-optimized Cu5Ag4 structure, with properties calculated at the PBE-GGA level.

CIF file:
```
data_Cu5Ag4
_chemical_formula_sum 'Cu5 Ag4'
_cell_length_a 2.7827
_cell_length_b 2.7827
_cell_length_c 19.7427
_cell_angle_alpha 90.00
_cell_angle_beta 90.00
_cell_angle_gamma 120.00
_symmetry_space_group_name_H-M 'P 3 m 1'
_symmetry_Int_Tables_number 156
loop_
_symmetry_equiv_pos_as_xyz
'x,y,z'
'-y,x-y,z'
'-x+y,-x,z'
'-y,-x,z'
'-x+y,y,z'
'x,x-y,z'
loop_
_atom_site_label
_atom_site_type_symbol
_atom_site_fract_x
_atom_site_fract_y
_atom_site_fract_z
Cu1 Cu 0.0000 0.0000 0.0000
Cu2 Cu 0.0000 0.0000 0.2962
Cu3 Cu 0.3333 0.6667 0.1978
Cu4 Cu 0.6667 0.3333 0.0985
Cu5 Cu 0.6667 0.3333 0.7742
Ag1 Ag 0.0000 0.0000 0.6628
Ag2 Ag 0.3333 0.6667 0.5363
Ag3 Ag 0.3333 0.6667 0.8866
Ag4 Ag 0.6667 0.3333 0.4090
```

Volume (Å³ per atom): 14.710

(2)
Below is a geometry-optimized Cu5Ag4 structure, with properties calculated at the PBE-GGA level.

CIF file:
```
data_Cu5Ag4
_chemical_formula_sum 'Cu10 Ag8'
_cell_length_a 2.773
_cell_length_b 3.746
_cell_length_c 25.208
_cell_angle_alpha 90.00
_cell_angle_beta 90.00
_cell_angle_gamma 90.00
_symmetry_space_group_name_H-M 'I m m 2'
_symmetry_Int_Tables_number 44
loop_
_symmetry_equiv_pos_as_xyz
'x,y,z'
'-x,-y,z'
'-x,y,z'
'x,-y,z'
'x+1/2,y+1/2,z+1/2'
'-x+1/2,-y+1/2,z+1/2'
'-x+1/2,y+1/2,z+1/2'
'x+1/2,-y+1/2,z+1/2'
loop_
_atom_site_label
_atom_site_type_symbol
_atom_site_fract_x
_atom_site_fract_y
_atom_site_fract_z
Cu1 Cu 0.000 0.000 0.000
Cu2 Cu 0.000 0.000 0.097
Cu3 Cu 0.000 0.000 0.339
Cu4 Cu 0.000 0.000 0.549
Cu5 Cu 0.000 0.000 0.888
Ag1 Ag 0.000 0.000 0.218
Ag2 Ag 0.000 0.000 0.444
Ag3 Ag 0.000 0.000 0.654
Ag4 Ag 0.000 0.000 0.783
```

Volume (Å³ per atom): 14.545

Each structure's energy above the most stable one, in eV/atom: (1) 0.013; (2) 0.000.